Pm2NiPt, relaxed, DFT PBE; space-group type = P2_1/m (11); ΔH_f (0 K) = -0.7695 eV/atom
1.0
-5.495 -1.360 0.092
0.364 -1.743 -4.044
4.228 -5.810 2.884
Pm Ni Pt
4 2 2
direct
0.777 0.750 0.070
0.223 0.250 0.930
0.780 0.750 0.569
0.220 0.250 0.431
0.344 0.750 0.709
0.656 0.250 0.291
0.342 0.750 0.212
0.658 0.250 0.788